A plane-wave DFT calculation with PBE was carried out for crystalline Y2SnSb at its relaxed geometry.

Cell: 4.2376 4.2376 8.0775 Å, 74.79 74.79 60.00°
Last column: nearest neighbours and their distance in Å.
Element x y z (fractional)
Y  0.2468  0.2468  0.2596  3 Sb 3.07, 3 Sn 3.16
Y  0.7532  0.7532  0.7404  3 Sb 3.07, 3 Sn 3.16
Sb  0.5000  0.5000  0.5000  6 Y 3.07
Sn  0.0000  0.0000  0.0000  6 Y 3.16

Symmetry   R-3m
Energy above the most stable polymorph in this dataset   0.096 eV/atom



A plane-wave DFT calculation with PBE was carried out for crystalline Y2SnSb at its relaxed geometry.

Cell: 5.3815 5.3815 5.3815 Å, 60.00 60.00 60.00°
Last column: nearest neighbours and their distance in Å.
Element x y z (fractional)
Y  0.2500  0.2500  0.2500  4 Sn 3.30, 4 Sb 3.30
Y  0.7500  0.7500  0.7500  4 Sb 3.30, 4 Sn 3.30
Sb  0.5000  0.5000  0.5000  8 Y 3.30
Sn  0.0000  0.0000  0.0000  8 Y 3.30

Symmetry   Fm-3m
Energy above the most stable polymorph in this dataset   0.299 eV/atom



A plane-wave DFT calculation with PBE was carried out for crystalline YSn2Sb2 at its relaxed geometry.

Cell: 4.2171 4.2171 8.8921 Å, 76.28 76.28 90.00°
Last column: nearest neighbours and their distance in Å.
Element x y z (fractional)
Y  0.0000  0.0000  0.0000  8 Sb 3.33
Sb  0.4111  0.4111  0.1777  1 Sb 2.98, 4 Y 3.33
Sb  0.5889  0.5889  0.8223  1 Sb 2.98, 4 Y 3.33
Sn  0.7500  0.2500  0.5000  4 Sn 2.98
Sn  0.2500  0.7500  0.5000  4 Sn 2.98

Symmetry   I4/mmm



Results for theoretical density: 5.80, 6.30, 6.35 (in g cm⁻³, following the order of the records).
Results for raw formation energy: -83.10, -63.54, -21.87 (in kJ/mol of atoms, following the order of the records).
Results for volume: 119.7, 110.2, 149.0 (in Å³/cell, following the order of the records).